Record 1
{"formula": "Cd6Hg3Bi2", "functional": "PBE", "state": "relaxed", "dos_at_fermi_per_ev_cell": 3.898, "e_tot_ev_per_cell": -27.6, "delta_e_f_ev_per_atom": 0.032, "magmom_total_mub_per_cell": 0.00, "lattice_angstrom": [[6.080, 0.000, 0.001], [0.000, 5.914, 2.920], [0.001, 4.019, 17.982]], "species": ["Bi", "Bi", "Hg", "Cd", "Bi", "Cd", "Cd", "Cd", "Cd", "Cd", "Cd", "Hg", "Cd", "Hg", "Cd", "Bi", "Cd", "Cd", "Hg", "Hg", "Cd", "Hg"], "fractional_positions": [[0.501, 0.320, 0.919], [0.001, 0.180, 0.581], [0.000, 0.000, 0.000], [0.245, 0.780, 0.908], [0.499, 0.680, 0.081], [0.745, 0.720, 0.592], [0.255, 0.280, 0.408], [0.000, 0.754, 0.254], [0.245, 0.220, 0.092], [0.745, 0.280, 0.408], [0.755, 0.220, 0.092], [0.999, 0.415, 0.192], [0.000, 0.246, 0.746], [0.499, 0.085, 0.308], [0.755, 0.780, 0.908], [0.999, 0.820, 0.419], [0.500, 0.746, 0.246], [0.255, 0.720, 0.592], [0.500, 0.500, 0.500], [0.501, 0.915, 0.692], [0.500, 0.254, 0.754], [0.001, 0.585, 0.808]]}



Record 2
{"formula": "CdHg3Bi", "functional": "PBE", "state": "relaxed", "dos_at_fermi_per_ev_cell": 3.854, "e_tot_ev_per_cell": -10.9, "delta_e_f_ev_per_atom": 0.046, "magmom_total_mub_per_cell": 0.00, "e_above_lowest_polymorph_kcal_per_mol_atoms": 0.00, "lattice_angstrom": [[3.614, -0.859, 2.367], [-0.105, 4.284, 1.358], [-1.920, -0.270, 16.622]], "species": ["Cd", "Cd", "Hg", "Hg", "Hg", "Hg", "Hg", "Bi", "Bi", "Hg"], "fractional_positions": [[0.106, 0.847, 0.608], [0.305, 0.341, 0.006], [0.225, 0.837, 0.213], [0.753, 0.340, 0.202], [0.955, 0.358, 0.803], [0.185, 0.352, 0.401], [0.457, 0.830, 0.811], [0.804, 0.857, 0.002], [0.607, 0.332, 0.613], [0.657, 0.849, 0.412]]}



Record 3
{"formula": "Cd3Hg2Bi", "functional": "PBE", "state": "relaxed", "dos_at_fermi_per_ev_cell": 2.864, "e_tot_ev_per_cell": -6.9, "delta_e_f_ev_per_atom": 0.063, "magmom_total_mub_per_cell": 0.00, "e_above_lowest_polymorph_kcal_per_mol_atoms": 0.55, "lattice_angstrom": [[-4.968, -0.791, -1.573], [1.131, 0.230, 5.143], [-0.991, 6.354, -0.066]], "species": ["Cd", "Hg", "Hg", "Cd", "Cd", "Bi"], "fractional_positions": [[0.000, 0.000, 0.500], [0.667, 0.333, 0.319], [0.333, 0.667, 0.681], [0.333, 0.667, 0.200], [0.667, 0.333, 0.800], [0.000, 0.000, 0.000]]}



Record 4
{"formula": "Cd6Hg4Bi", "functional": "PBE", "state": "relaxed", "dos_at_fermi_per_ev_cell": 6.865, "e_tot_ev_per_cell": -20.3, "delta_e_f_ev_per_atom": 0.041, "magmom_total_mub_per_cell": 0.00, "e_above_lowest_polymorph_kcal_per_mol_atoms": 0.00, "lattice_angstrom": [[3.561, 0.000, 0.000], [-1.780, 7.425, 0.000], [0.000, 0.000, 21.287]], "species": ["Cd", "Cd", "Cd", "Cd", "Hg", "Bi", "Bi", "Hg", "Hg", "Hg", "Hg", "Hg", "Cd", "Hg", "Hg", "Cd", "Cd", "Cd", "Cd", "Cd", "Cd", "Cd"], "fractional_positions": [[0.065, 0.129, 0.381], [0.935, 0.871, 0.881], [0.065, 0.129, 0.119], [0.935, 0.871, 0.619], [0.593, 0.186, 0.856], [0.601, 0.202, 0.250], [0.399, 0.798, 0.750], [0.835, 0.670, 0.495], [0.407, 0.814, 0.144], [0.407, 0.814, 0.356], [0.165, 0.330, 0.995], [0.835, 0.670, 0.005], [0.264, 0.527, 0.874], [0.593, 0.186, 0.644], [0.165, 0.330, 0.505], [0.500, 0.000, 0.000], [0.500, 0.000, 0.500], [0.736, 0.473, 0.126], [0.264, 0.527, 0.626], [0.284, 0.567, 0.250], [0.736, 0.473, 0.374], [0.716, 0.433, 0.750]]}